Here is crystalline Mn2GeH at its relaxed geometry from Alexandria via LeMat-Bulk. Energies are from GGA-PBE.

a = 6.1837 Å, b = 6.1837 Å, c = 6.1837 Å
α = 25.44°, β = 25.44°, γ = 25.44°
Atoms (fractional coordinates):
1 Mn 0.2218 0.2218 0.2218
2 Mn 0.7782 0.7782 0.7782
3 Ge 0.0000 0.0000 0.0000
4 H 0.5000 0.5000 0.5000

Calculated values
The calculation puts the total DFT energy (no corrections) at -0.4798 Ry per atom. The value obtained for the density is 7.938 g cm⁻³.